## A
{"formula": "MoPdS3", "functional": "PBE-GGA", "state": "relaxed", "mass_density_g_cm3": 4.9, "spacegroup": "Pm-3m", "lattice_angstrom": [[4.6622, 0.0000, 0.0000], [0.0000, 4.6622, 0.0000], [0.0000, 0.0000, 4.6622]], "species": ["Mo", "Pd", "S", "S", "S"], "frac_coords": [[0.0000, 0.0000, 0.0000], [0.5000, 0.5000, 0.5000], [0.0000, 0.0000, 0.5000], [0.0000, 0.5000, 0.0000], [0.5000, 0.0000, 0.0000]]}

***

## B
{"formula": "MoPdS3", "functional": "PBE-GGA", "state": "relaxed", "mass_density_g_cm3": 5.0, "spacegroup": "Pm-3m", "lattice_angstrom": [[4.6433, 0.0000, 0.0000], [0.0000, 4.6433, 0.0000], [0.0000, 0.0000, 4.6433]], "species": ["Mo", "Pd", "S", "S", "S"], "frac_coords": [[0.0000, 0.0000, 0.0000], [0.5000, 0.5000, 0.5000], [0.0000, 0.5000, 0.5000], [0.5000, 0.0000, 0.5000], [0.5000, 0.5000, 0.0000]]}

***

How far above the most stable structure does each one sit? In meV/atom: A 0; B 527.

***

## A
{"formula": "Sb3MoPd", "functional": "PBE-GGA", "state": "relaxed", "mass_density_g_cm3": 6.8, "spacegroup": "Pm-3m", "lattice_angstrom": [[5.1734, 0.0000, 0.0000], [0.0000, 5.1734, 0.0000], [0.0000, 0.0000, 5.1734]], "species": ["Sb", "Sb", "Sb", "Mo", "Pd"], "frac_coords": [[0.0000, 0.0000, 0.5000], [0.0000, 0.5000, 0.0000], [0.5000, 0.0000, 0.0000], [0.5000, 0.5000, 0.5000], [0.0000, 0.0000, 0.0000]]}

***

## B
{"formula": "Sb3MoPd", "functional": "PBE-GGA", "state": "relaxed", "mass_density_g_cm3": 6.8, "spacegroup": "Pm-3m", "lattice_angstrom": [[5.1797, 0.0000, 0.0000], [0.0000, 5.1797, 0.0000], [0.0000, 0.0000, 5.1797]], "species": ["Sb", "Sb", "Sb", "Mo", "Pd"], "frac_coords": [[0.0000, 0.0000, 0.5000], [0.0000, 0.5000, 0.0000], [0.5000, 0.0000, 0.0000], [0.0000, 0.0000, 0.0000], [0.5000, 0.5000, 0.5000]]}

***

How far above the most stable structure does each one sit? In meV/atom: A 282; B 0.

***

## A
{"formula": "ScMo3Pd", "functional": "PBE-GGA", "state": "relaxed", "mass_density_g_cm3": 7.8, "spacegroup": "Pm-3m", "lattice_angstrom": [[4.5438, 0.0000, 0.0000], [0.0000, 4.5438, 0.0000], [0.0000, 0.0000, 4.5438]], "species": ["Sc", "Mo", "Mo", "Mo", "Pd"], "frac_coords": [[0.0000, 0.0000, 0.0000], [0.0000, 0.0000, 0.5000], [0.0000, 0.5000, 0.0000], [0.5000, 0.0000, 0.0000], [0.5000, 0.5000, 0.5000]]}

***

## B
{"formula": "ScMo3Pd", "functional": "PBE-GGA", "state": "relaxed", "mass_density_g_cm3": 6.8, "spacegroup": "Pm-3m", "lattice_angstrom": [[4.7594, 0.0000, 0.0000], [0.0000, 4.7594, 0.0000], [0.0000, 0.0000, 4.7594]], "species": ["Sc", "Mo", "Mo", "Mo", "Pd"], "frac_coords": [[0.0000, 0.0000, 0.0000], [0.0000, 0.5000, 0.5000], [0.5000, 0.0000, 0.5000], [0.5000, 0.5000, 0.0000], [0.5000, 0.5000, 0.5000]]}

***

How far above the most stable structure does each one sit? In meV/atom: A 335; B 0.

***

## A
{"formula": "MoPdSe3", "functional": "PBE-GGA", "state": "relaxed", "mass_density_g_cm3": 6.2, "spacegroup": "Pm-3m", "lattice_angstrom": [[4.9096, 0.0000, 0.0000], [0.0000, 4.9096, 0.0000], [0.0000, 0.0000, 4.9096]], "species": ["Mo", "Pd", "Se", "Se", "Se"], "frac_coords": [[0.0000, 0.0000, 0.0000], [0.5000, 0.5000, 0.5000], [0.0000, 0.0000, 0.5000], [0.0000, 0.5000, 0.0000], [0.5000, 0.0000, 0.0000]]}

***

## B
{"formula": "MoPdSe3", "functional": "PBE-GGA", "state": "relaxed", "mass_density_g_cm3": 7.1, "spacegroup": "Amm2", "lattice_angstrom": [[4.0974, 0.0000, 0.0000], [0.0000, 7.9831, 0.0000], [0.0000, 0.0000, 6.2998]], "species": ["Mo", "Mo", "Pd", "Pd", "Se", "Se", "Se", "Se", "Se", "Se"], "frac_coords": [[0.0000, 0.0000, 0.0000], [0.0000, 0.5000, 0.5000], [0.5000, 0.0000, 0.6201], [0.5000, 0.5000, 0.1201], [0.0000, 0.1884, 0.6661], [0.0000, 0.3116, 0.1661], [0.0000, 0.6884, 0.1661], [0.0000, 0.8116, 0.6661], [0.5000, 0.0000, 0.2072], [0.5000, 0.5000, 0.7072]]}

***

How far above the most stable structure does each one sit? In meV/atom: A 635; B 0.

***

## A
{"formula": "Mo3PdSe", "functional": "PBE-GGA", "state": "relaxed", "mass_density_g_cm3": 7.3, "spacegroup": "Pm-3m", "lattice_angstrom": [[4.7621, 0.0000, 0.0000], [0.0000, 4.7621, 0.0000], [0.0000, 0.0000, 4.7621]], "species": ["Mo", "Mo", "Mo", "Pd", "Se"], "frac_coords": [[0.0000, 0.0000, 0.5000], [0.0000, 0.5000, 0.0000], [0.5000, 0.0000, 0.0000], [0.0000, 0.0000, 0.0000], [0.5000, 0.5000, 0.5000]]}

***

## B
{"formula": "Mo3PdSe", "functional": "PBE-GGA", "state": "relaxed", "mass_density_g_cm3": 8.2, "spacegroup": "Pm-3m", "lattice_angstrom": [[4.5765, 0.0000, 0.0000], [0.0000, 4.5765, 0.0000], [0.0000, 0.0000, 4.5765]], "species": ["Mo", "Mo", "Mo", "Pd", "Se"], "frac_coords": [[0.0000, 0.0000, 0.5000], [0.0000, 0.5000, 0.0000], [0.5000, 0.0000, 0.0000], [0.5000, 0.5000, 0.5000], [0.0000, 0.0000, 0.0000]]}

***

How far above the most stable structure does each one sit? In meV/atom: A 757; B 0.

***

## A
{"formula": "MoPdSe2", "functional": "PBE-GGA", "state": "relaxed", "mass_density_g_cm3": 8.9, "spacegroup": "Fm-3m", "lattice_angstrom": [[6.4651, 0.0000, 0.0000], [0.0000, 6.4651, 0.0000], [0.0000, 0.0000, 6.4651]], "species": ["Mo", "Mo", "Mo", "Mo", "Pd", "Pd", "Pd", "Pd", "Se", "Se", "Se", "Se", "Se", "Se", "Se", "Se"], "frac_coords": [[0.0000, 0.0000, 0.0000], [0.0000, 0.5000, 0.5000], [0.5000, 0.0000, 0.5000], [0.5000, 0.5000, 0.0000], [0.0000, 0.0000, 0.5000], [0.0000, 0.5000, 0.0000], [0.5000, 0.0000, 0.0000], [0.5000, 0.5000, 0.5000], [0.2500, 0.2500, 0.2500], [0.2500, 0.2500, 0.7500], [0.2500, 0.7500, 0.2500], [0.2500, 0.7500, 0.7500], [0.7500, 0.2500, 0.2500], [0.7500, 0.2500, 0.7500], [0.7500, 0.7500, 0.2500], [0.7500, 0.7500, 0.7500]]}

***

## B
{"formula": "MoPdSe2", "functional": "PBE-GGA", "state": "relaxed", "mass_density_g_cm3": 7.9, "spacegroup": "R-3m", "lattice_angstrom": [[3.2435, 0.0000, 0.0000], [-1.6218, 2.8090, 0.0000], [0.0000, 0.0000, 25.0581]], "species": ["Mo", "Mo", "Mo", "Pd", "Pd", "Pd", "Se", "Se", "Se", "Se", "Se", "Se"], "frac_coords": [[0.0000, 0.0000, 0.0000], [0.3333, 0.6667, 0.6667], [0.6667, 0.3333, 0.3333], [0.0000, 0.0000, 0.5000], [0.3333, 0.6667, 0.1667], [0.6667, 0.3333, 0.8333], [0.0000, 0.0000, 0.4028], [0.0000, 0.0000, 0.5972], [0.3333, 0.6667, 0.0695], [0.3333, 0.6667, 0.2639], [0.6667, 0.3333, 0.7361], [0.6667, 0.3333, 0.9305]]}

***

How far above the most stable structure does each one sit? In meV/atom: A 322; B 0.